DFT (PBE+U) results for CrFe2SnF after structural relaxation. Values from VASP.

Output
Symmetry = No. 123
Total magnetization = 3.00 μB per cell
E = -21.480 eV per cell

The structure in Quantum ESPRESSO input format:
```
&SYSTEM
  ibrav = 0, nat = 5, ntyp = 4
/
ATOMIC_SPECIES
Cr 52.00 Cr.upf
Fe 55.84 Fe.upf
Sn 118.71 Sn.upf
F 19.00 F.upf
ATOMIC_POSITIONS crystal
Cr 0.0000 0.0000 0.0000
Fe 0.0000 0.5000 0.5000
Fe 0.5000 0.0000 0.5000
Sn 0.0000 0.0000 0.5000
F 0.5000 0.5000 0.0000
CELL_PARAMETERS angstrom
5.1652 0.0000 0.0000
0.0000 5.1652 0.0000
0.0000 0.0000 5.4013
```